1.
DFT (PBE) results for a relaxed Ac8Co3HCl3 crystal.

Properties
Electronic total energy: -4.885 eV/atom
ρ: 7.355 g cm⁻³

a = 14.629 Å, b = 8.438 Å, c = 9.097 Å
α = 90.00°, β = 122.38°, γ = 90.00°
Space group C2/m (No. 12)
Unique sites:
Ac 0.017 0.243 0.294 [8 per cell]
Ac 0.234 0.000 0.702 [4 per cell]
Ac 0.240 0.500 0.707 [4 per cell]
Co 0.000 0.000 0.500 [2 per cell]
Co 0.250 0.250 0.500 [4 per cell]
H 0.000 0.500 0.500 [2 per cell]
Cl 0.000 0.500 0.000 [2 per cell]
Cl 0.250 0.250 0.000 [4 per cell]

2.
DFT (PBE) results for a relaxed NpB4Ir4 crystal.

Properties
Electronic total energy: -8.713 eV/atom
ρ: 14.886 g cm⁻³

a = 7.698 Å, b = 7.698 Å, c = 3.949 Å
α = 90.00°, β = 90.00°, γ = 90.00°
Space group P4_2/n (No. 86, origin choice 2)
Unique sites:
Np 0.250 0.250 0.250 [2 per cell]
B 0.025 0.906 0.138 [8 per cell]
Ir 0.089 0.641 0.138 [8 per cell]

3.
DFT (PBE) results for a relaxed SrReAuCl2 crystal.

Properties
Formation energy (no corrections): -0.164 eV/atom
Electronic total energy: -4.384 eV/atom
ρ: 7.315 g cm⁻³

a = 4.782 Å, b = 4.782 Å, c = 5.377 Å
α = 90.00°, β = 90.00°, γ = 90.00°
Space group P4/mmm (No. 123)
Unique sites:
Sr 0.000 0.000 0.000 [1 per cell]
Re 0.500 0.500 0.500 [1 per cell]
Au 0.500 0.500 0.000 [1 per cell]
Cl 0.000 0.500 0.500 [2 per cell]

4.
DFT (PBE) results for a relaxed Dy2Mg3Hg crystal.

Properties
Electronic total energy: -2.563 eV/atom
ρ: 6.555 g cm⁻³

a = 3.396 Å, b = 5.085 Å, c = 8.781 Å
α = 90.00°, β = 90.00°, γ = 90.00°
Space group Pmm2 (No. 25)
Unique sites:
Dy 0.000 0.000 0.000 [1 per cell]
Dy 0.000 0.500 0.480 [1 per cell]
Mg 0.500 0.000 0.656 [1 per cell]
Mg 0.500 0.500 0.156 [1 per cell]
Mg 0.500 0.500 0.821 [1 per cell]
Hg 0.500 0.000 0.325 [1 per cell]

5.
DFT (PBE) results for a relaxed Ce3ThAs4 crystal.

Properties
Electronic total energy: -6.908 eV/atom
ρ: 7.374 g cm⁻³

a = 8.463 Å, b = 11.971 Å, c = 4.233 Å
α = 90.00°, β = 90.00°, γ = 90.00°
Space group Cmmm (No. 65)
Unique sites:
Ce 0.000 0.000 0.000 [2 per cell]
Ce 0.250 0.250 0.500 [4 per cell]
Th 0.000 0.500 0.000 [2 per cell]
As 0.000 0.249 0.000 [4 per cell]
As 0.249 0.000 0.500 [4 per cell]

6.
DFT (PBE) results for a relaxed LiSb2Te crystal.

Properties
Formation energy (no corrections): -0.255 eV/atom
Electronic total energy: -3.580 eV/atom
ρ: 5.266 g cm⁻³

a = 14.338 Å, b = 4.159 Å, c = 4.159 Å
α = 90.00°, β = 105.99°, γ = 90.00°
Space group C2/m (No. 12)
Unique sites:
Li 0.000 0.000 0.000 [2 per cell]
Sb 0.220 0.500 0.719 [4 per cell]
Te 0.000 0.500 0.500 [2 per cell]

7.
DFT (PBE) results for a relaxed HfGa2Sb2 crystal.

Properties
Formation energy (no corrections): 0.078 eV/atom
Excess energy over the best structure of this formula in the dataset: 40 meV per atom
Electronic total energy: -4.772 eV/atom
ρ: 7.933 g cm⁻³

a = 7.542 Å, b = 7.542 Å, c = 4.132 Å
α = 90.00°, β = 90.00°, γ = 90.00°
Space group P4/mbm (No. 127)
Unique sites:
Hf 0.000 0.000 0.000 [2 per cell]
Ga 0.172 0.328 0.500 [4 per cell]
Sb 0.143 0.643 0.000 [4 per cell]

8.
DFT (PBE) results for a relaxed Er2BeSi2Ir5 crystal.

Properties
Formation energy (no corrections): -0.775 eV/atom
Electronic total energy: -7.575 eV/atom
ρ: 14.384 g cm⁻³

a = 9.612 Å, b = 9.612 Å, c = 3.400 Å
α = 90.00°, β = 90.00°, γ = 90.00°
Space group P4/mbm (No. 127)
Unique sites:
Er 0.173 0.327 0.000 [4 per cell]
Be 0.000 0.000 0.000 [2 per cell]
Si 0.128 0.628 0.000 [4 per cell]
Ir 0.000 0.500 0.500 [2 per cell]
Ir 0.065 0.797 0.500 [8 per cell]

9.
DFT (PBE) results for a relaxed AcZn4Cu4 crystal.

Properties
Excess energy over the best structure of this formula in the dataset: 5 meV per atom
Electronic total energy: -2.975 eV/atom
ρ: 8.066 g cm⁻³

a = 5.946 Å, b = 5.946 Å, c = 8.652 Å
α = 90.00°, β = 90.00°, γ = 90.00°
Space group P4_2/nmc (No. 137, origin choice 2)
Unique sites:
Ac 0.250 0.750 0.250 [2 per cell]
Zn 0.014 0.250 0.152 [8 per cell]
Cu 0.048 0.250 0.445 [8 per cell]

10.
DFT (PBE) results for a relaxed Mn2CrPBr crystal.

Properties
Formation energy (no corrections): 1.313 eV/atom
Electronic total energy: -5.696 eV/atom
ρ: 4.275 g cm⁻³

a = 4.524 Å, b = 4.524 Å, c = 5.176 Å
α = 90.00°, β = 90.00°, γ = 90.00°
Space group P4/mmm (No. 123)
Unique sites:
Mn 0.000 0.500 0.000 [2 per cell]
Cr 0.000 0.000 0.500 [1 per cell]
P 0.500 0.500 0.500 [1 per cell]
Br 0.500 0.500 0.000 [1 per cell]

11.
DFT (PBE) results for a relaxed SiIr2Rh crystal.

Properties
Formation energy (no corrections): 0.223 eV/atom
Electronic total energy: -7.401 eV/atom
ρ: 13.891 g cm⁻³

a = 3.728 Å, b = 3.728 Å, c = 17.738 Å
α = 90.00°, β = 90.00°, γ = 90.00°
Space group I-42d (No. 122)
Unique sites:
Si 0.000 0.000 0.000 [4 per cell]
Ir 0.249 0.250 0.125 [8 per cell]
Rh 0.000 0.000 0.500 [4 per cell]

12.
DFT (PBE) results for a relaxed Ac3Hg crystal.

Properties
Excess energy over the best structure of this formula in the dataset: 35 meV per atom
Electronic total energy: -3.356 eV/atom
ρ: 9.239 g cm⁻³

a = 4.135 Å, b = 12.604 Å, c = 6.080 Å
α = 90.00°, β = 90.00°, γ = 90.00°
Space group Imm2 (No. 44)
Unique sites:
Ac 0.000 0.000 0.000 [2 per cell]
Ac 0.000 0.214 0.501 [4 per cell]
Hg 0.000 0.500 0.999 [2 per cell]